# GaHgPdPt

A relaxed structure of GaHgPdPt (PBE, Alexandria).

Cell and atoms, written as extended XYZ:
```
4
Lattice="4.5607 0.0000 0.0000 2.2803 3.9496 0.0000 2.2803 1.3165 3.7238" Properties=species:S:1:pos:R:3 pbc="T T T"
Ga 4.5607 2.6331 1.8619
Pd 6.8410 3.9496 2.7928
Hg 0.0000 0.0000 0.0000
Pt 2.2803 1.3165 0.9309
```

Summary:
- formation energy from the elements (eV per atom) = -0.237